(1)
CoNi5Pt2 PBE relaxed; energy above the most stable polymorph in this dataset = 42 meV/atom; N(E_F) = 11.31 states/eV per cell; raw total energy = -6.03 eV per atom
1.0
3.7349 0.0000 0.0000
0.0000 3.7349 0.0000
-1.8674 -1.8674 7.0411
Ni Co Pt
5 1 2
direct
0.3846 0.8846 0.7693
0.1154 0.6154 0.2307
0.6154 0.1154 0.2307
0.8846 0.3846 0.7693
0.5000 0.5000 0.0000
0.0000 0.0000 0.0000
0.2512 0.2512 0.5024
0.7488 0.7488 0.4976

(2)
CoNiPt2 PBE relaxed; N(E_F) = 4.78 states/eV per cell; raw total energy = -6.29 eV per atom
1.0
-0.8360 2.0546 -1.5820
-2.9608 -2.9089 -2.2131
-5.0289 -1.0017 1.3566
Pt Ni Co
2 1 1
direct
0.5000 0.5000 0.0000
0.0000 0.0000 0.0000
0.0000 0.0000 0.5000
0.5000 0.5000 0.5000

(3)
CoNi3Pt7 PBE relaxed; N(E_F) = 15.61 states/eV per cell; raw total energy = -5.84 eV per atom
1.0
-2.6772 -3.7167 0.6342
5.1642 -0.1666 3.8919
-2.3173 5.1081 3.2219
Ni Pt Co
3 7 1
direct
0.5000 0.0000 0.0000
0.0000 0.7683 0.2317
0.0000 0.2317 0.7683
0.3310 0.5946 0.0669
0.6690 0.4054 0.9331
0.8213 0.8247 0.8247
0.0000 0.5000 0.5000
0.6690 0.9331 0.4054
0.1787 0.1753 0.1753
0.3310 0.0669 0.5946
0.5000 0.5000 0.5000

(4)
CoNi2Pt3 PBE relaxed; energy above the most stable polymorph in this dataset = 0 meV/atom; N(E_F) = 14.96 states/eV per cell; raw total energy = -6.24 eV per atom
1.0
3.8376 0.0000 0.0176
1.9188 5.7519 0.0088
-0.0336 0.0000 7.3406
Ni Pt Co
4 6 2
direct
0.3323 0.3353 0.5000
0.0000 0.0000 0.5000
0.0000 0.0000 0.0000
0.6677 0.6647 0.5000
0.1664 0.6672 0.2488
0.5000 0.0000 0.2484
0.8336 0.3328 0.2488
0.8336 0.3328 0.7512
0.1664 0.6672 0.7512
0.5000 0.0000 0.7516
0.3291 0.3419 0.0000
0.6709 0.6581 0.0000

(5)
Co2NiPt9 PBE relaxed; N(E_F) = 18.96 states/eV per cell; raw total energy = -6.27 eV per atom
1.0
-0.4513 1.8033 3.4130
-3.7343 0.6662 -0.8457
-2.9387 -10.1547 4.9766
Pt Co Ni
9 2 1
direct
0.5000 0.0000 0.8326
0.5000 0.5000 0.6659
0.5000 0.5000 0.0000
0.0000 0.5000 0.5000
0.5000 0.5000 0.3341
0.0000 0.5000 0.8326
0.5000 0.0000 0.5000
0.5000 0.0000 0.1674
0.0000 0.5000 0.1674
0.0000 0.0000 0.3310
0.0000 0.0000 0.6690
0.0000 0.0000 0.0000

(6)
Co3Ni4Pt2 PBE relaxed; N(E_F) = 11.74 states/eV per cell; raw total energy = -6.34 eV per atom
1.0
-1.5810 0.5676 -3.2333
0.6028 -4.2920 1.0048
-6.5129 2.1972 3.5703
Co Pt Ni
3 2 4
direct
0.0000 0.0000 0.0000
0.3398 0.6796 0.4491
0.6602 0.3204 0.5509
0.3325 0.6649 0.7751
0.6675 0.3351 0.2249
0.9989 0.9979 0.6621
0.6673 0.3346 0.8896
0.3327 0.6654 0.1104
0.0011 0.0021 0.3379

(7)
Co3Ni3Pt PBE relaxed; energy above the most stable polymorph in this dataset = 178 meV/atom; N(E_F) = 29.80 states/eV per cell; raw total energy = -6.24 eV per atom
1.0
-1.1804 -1.0154 3.5639
0.1616 -8.7416 -2.4369
9.4498 -0.6465 2.9457
Co Ni Pt
12 12 4
direct
0.2500 0.3196 0.9320
0.2500 0.5823 0.4339
0.7500 0.6804 0.0680
0.7500 0.1804 0.4320
0.2500 0.0785 0.5594
0.2500 0.5785 0.9406
0.2500 0.0823 0.0661
0.7500 0.4177 0.5661
0.2500 0.8196 0.5680
0.7500 0.4215 0.0594
0.7500 0.9215 0.4406
0.7500 0.9177 0.9339
0.2500 0.8048 0.3153
0.7500 0.6804 0.5603
0.2500 0.8196 0.0603
0.7500 0.6952 0.8153
0.7500 0.1804 0.9397
0.2500 0.3048 0.1847
0.2500 0.0752 0.3167
0.2500 0.5752 0.1833
0.7500 0.9248 0.6833
0.7500 0.4248 0.8167
0.7500 0.1952 0.6847
0.2500 0.3196 0.4397
0.7500 0.4487 0.3113
0.2500 0.0513 0.8113
0.7500 0.9487 0.1887
0.2500 0.5513 0.6887

(8)
CoNi2Pt PBE relaxed; N(E_F) = 5.22 states/eV per cell; raw total energy = -6.22 eV per atom
1.0
-1.2157 -2.8556 3.1926
0.9904 -1.6600 4.0111
-2.4274 2.7004 2.5980
Ni Pt Co
2 1 1
direct
0.5033 0.5033 0.4863
0.9967 0.9967 0.0137
0.7500 0.7500 0.7500
0.2500 0.2500 0.2500

(9)
Co2NiPt PBE relaxed; N(E_F) = 5.74 states/eV per cell; raw total energy = -6.51 eV per atom
1.0
2.6178 0.0260 0.0000
-0.0248 2.6178 0.0000
0.0000 0.0000 7.1986
Co Pt Ni
2 1 1
direct
0.0000 0.0000 0.0160
0.0000 0.0000 0.4840
0.5000 0.5000 0.7500
0.5000 0.5000 0.2500

(10)
CoNi4Pt PBE relaxed; energy above the most stable polymorph in this dataset = 69 meV/atom; N(E_F) = 7.82 states/eV per cell; raw total energy = -5.95 eV per atom
1.0
0.0000 3.2985 3.2985
3.2985 0.0000 3.2985
3.2985 3.2985 0.0000
Ni Co Pt
4 1 1
direct
0.8754 0.3749 0.3749
0.3749 0.8754 0.3749
0.3749 0.3749 0.3749
0.3749 0.3749 0.8754
0.0000 0.0000 0.0000
0.7500 0.7500 0.7500

(11)
CoNiPt3 PBE relaxed; energy above the most stable polymorph in this dataset = 0 meV/atom; N(E_F) = 13.31 states/eV per cell; raw total energy = -6.17 eV per atom
1.0
-0.5808 2.5456 -0.8087
-5.5356 -3.1448 -1.3208
-2.7091 1.8021 7.6145
Pt Co Ni
6 2 2
direct
0.4323 0.8972 0.6003
0.7673 0.5692 0.3665
0.6108 0.2567 0.8212
0.9668 0.9660 0.0068
0.0774 0.1881 0.4147
0.2767 0.5850 0.0550
0.8205 0.6745 0.7985
0.2225 0.4794 0.6231
0.4285 0.8907 0.2739
0.6171 0.2637 0.1477

(12)
Co2NiPt8 PBE relaxed; energy above the most stable polymorph in this dataset = 297 meV/atom; N(E_F) = 16.70 states/eV per cell; raw total energy = -5.99 eV per atom
1.0
-1.1845 -3.7515 -2.3113
-4.3412 -2.9515 4.1865
-6.5634 0.9670 -1.0347
Pt Co Ni
8 2 1
direct
0.6611 0.6479 0.6479
0.2102 0.3700 0.7729
0.3389 0.3521 0.3521
0.7898 0.2271 0.6300
0.2102 0.7729 0.3700
0.7898 0.6300 0.2271
0.9206 0.2201 0.2201
0.0794 0.7799 0.7799
0.5143 0.8834 0.8834
0.4857 0.1166 0.1166
0.0000 0.0000 0.0000

Q: The highest raw total energy belongs to which entry?
A: CoNi3Pt7

What did the tenth record say?
CoNi4Pt PBE relaxed; energy above the most stable polymorph in this dataset = 69 meV/atom; N(E_F) = 7.82 states/eV per cell; raw total energy = -5.95 eV per atom
1.0
0.0000 3.2985 3.2985
3.2985 0.0000 3.2985
3.2985 3.2985 0.0000
Ni Co Pt
4 1 1
direct
0.8754 0.3749 0.3749
0.3749 0.8754 0.3749
0.3749 0.3749 0.3749
0.3749 0.3749 0.8754
0.0000 0.0000 0.0000
0.7500 0.7500 0.7500

Q: raw total energy of number 2 (CoNiPt2)?
A: -6.29 eV per atom